Entry from Alexandria via LeMat-Bulk: an optimized crystal structure of Ti3H2O7 (GGA-PBE).

Calculated volume ... 11.57 Å³/atom
E above lowest polymorph ... 0 kJ/mol of formula units
Total DFT energy (no corrections) ... -7.93 eV per atom

Cell and atoms, written as POSCAR:
```
Ti3H2O7
1.0
-7.1164 -4.2588 -0.4865
-4.9868 -6.3985 1.7914
-4.5829 3.2750 7.3609
O Ti H
14 6 4
Direct
0.6503 0.6503 0.1801
0.9903 0.9903 0.8665
0.9215 0.9215 0.6044
0.0126 0.0126 0.1371
0.0769 0.0769 0.4033
0.7610 0.7610 0.7479
0.1702 0.1702 0.9655
0.8657 0.8657 0.3131
0.2376 0.2376 0.2535
0.3494 0.3494 0.8175
0.8301 0.8301 0.0280
0.7066 0.7066 0.4583
0.1346 0.1346 0.6834
0.2950 0.2950 0.5425
0.1760 0.1760 0.4857
0.1210 0.1210 0.1673
0.7714 0.7714 0.2118
0.2286 0.2286 0.7835
0.8320 0.8320 0.5132
0.8753 0.8753 0.8204
0.9995 0.9995 0.9733
0.0194 0.0194 0.4671
0.9561 0.9561 0.2082
0.0462 0.0462 0.7933
```